Record 1
## PRuAuN (GGA-PBE)

Data for a relaxed structure of PRuAuN. Values from VASP.

Computed properties:
As for the electronic total energy: -6.38 eV/atom. The calculation puts the density of states at the Fermi level at 1.60 states/eV/cell. The value obtained for the offset from the most stable computed form is 78 meV per atom.

Structure (Quantum ESPRESSO input):
```
&SYSTEM
  ibrav = 0, nat = 4, ntyp = 4
/
ATOMIC_SPECIES
P 30.97 P.upf
Ru 101.07 Ru.upf
Au 196.97 Au.upf
N 14.01 N.upf
ATOMIC_POSITIONS angstrom
P -3.809 4.695 1.836
Ru -1.000 -0.402 1.471
Au -2.970 2.656 1.038
N -2.207 0.803 0.314
CELL_PARAMETERS angstrom
-2.453 -0.324 -1.755
0.000 -1.105 2.825
-2.580 6.266 2.450
```


Record 2
## PRuAuN (GGA-PBE)

Data for a relaxed structure of PRuAuN. Values from VASP.

Computed properties:
As for the electronic total energy: -6.22 eV/atom. The calculation puts the density of states at the Fermi level at 1.91 states/eV/cell. The value obtained for the offset from the most stable computed form is 236 meV per atom.

Structure (Quantum ESPRESSO input):
```
&SYSTEM
  ibrav = 0, nat = 4, ntyp = 4
/
ATOMIC_SPECIES
P 30.97 P.upf
Ru 101.07 Ru.upf
Au 196.97 Au.upf
N 14.01 N.upf
ATOMIC_POSITIONS angstrom
P -0.844 0.628 4.871
Ru 1.387 0.972 0.689
Au -1.279 2.283 3.202
N 1.554 2.990 1.134
CELL_PARAMETERS angstrom
2.858 -0.010 0.000
-1.230 3.430 -0.009
-0.772 -0.445 6.002
```


Record 3
## PRuAuN (GGA-PBE)

Data for a relaxed structure of PRuAuN. Values from VASP.

Computed properties:
As for the electronic total energy: -6.26 eV/atom. The calculation puts the density of states at the Fermi level at 3.43 states/eV/cell. The value obtained for the offset from the most stable computed form is 199 meV per atom.

Structure (Quantum ESPRESSO input):
```
&SYSTEM
  ibrav = 0, nat = 8, ntyp = 4
/
ATOMIC_SPECIES
P 30.97 P.upf
Ru 101.07 Ru.upf
Au 196.97 Au.upf
N 14.01 N.upf
ATOMIC_POSITIONS angstrom
P -0.007 0.933 0.368
P 3.158 2.828 2.252
Ru -1.719 5.899 2.543
Ru -4.544 2.964 3.297
Au -2.199 1.559 0.897
Au 0.966 3.455 2.781
N -3.810 2.632 1.526
N -0.645 4.528 3.410
CELL_PARAMETERS angstrom
-6.573 2.050 1.653
0.340 -1.038 2.638
5.990 4.830 1.130
```


Record 4
## PRuAuN (GGA-PBE)

Data for a relaxed structure of PRuAuN. Values from VASP.

Computed properties:
As for the electronic total energy: -6.38 eV/atom. The calculation puts the density of states at the Fermi level at 1.03 states/eV/cell. The value obtained for the offset from the most stable computed form is 77 meV per atom.

Structure (Quantum ESPRESSO input):
```
&SYSTEM
  ibrav = 0, nat = 4, ntyp = 4
/
ATOMIC_SPECIES
P 30.97 P.upf
Ru 101.07 Ru.upf
Au 196.97 Au.upf
N 14.01 N.upf
ATOMIC_POSITIONS angstrom
P -1.069 0.000 4.469
Ru 2.325 0.000 0.632
Au 2.354 1.862 2.928
N 2.325 1.862 0.753
CELL_PARAMETERS angstrom
3.437 0.000 -0.024
0.000 3.725 0.000
-1.664 0.000 5.354
```


Record 5
## PRuAuN (GGA-PBE)

Data for a relaxed structure of PRuAuN. Values from VASP.

Computed properties:
As for the electronic total energy: -6.45 eV/atom. The calculation puts the density of states at the Fermi level at 3.35 states/eV/cell. The value obtained for the offset from the most stable computed form is 0 meV per atom.

Structure (Quantum ESPRESSO input):
```
&SYSTEM
  ibrav = 0, nat = 4, ntyp = 4
/
ATOMIC_SPECIES
P 30.97 P.upf
Ru 101.07 Ru.upf
Au 196.97 Au.upf
N 14.01 N.upf
ATOMIC_POSITIONS angstrom
P 0.000 0.000 0.012
Ru 0.000 1.507 1.723
Au 1.350 0.000 3.801
N 1.350 0.000 6.029
CELL_PARAMETERS angstrom
2.699 0.000 0.000
0.000 3.014 0.000
0.000 0.000 7.001
```


Record 6
## SbP2AuN (GGA-PBE)

Data for a relaxed structure of SbP2AuN. Values from VASP.

Computed properties:
As for the electronic total energy: -4.07 eV/atom. The calculation puts the density of states at the Fermi level at 3.14 states/eV/cell.

Structure (Quantum ESPRESSO input):
```
&SYSTEM
  ibrav = 0, nat = 5, ntyp = 4
/
ATOMIC_SPECIES
Sb 121.76 Sb.upf
N 14.01 N.upf
Au 196.97 Au.upf
P 30.97 P.upf
ATOMIC_POSITIONS angstrom
Sb 2.320 -1.295 3.062
N -0.137 -1.838 0.526
Au 0.000 0.000 0.000
P 2.519 -0.156 0.110
P -0.062 0.699 2.427
CELL_PARAMETERS angstrom
-0.125 1.398 4.853
-0.274 -3.676 1.052
5.038 -0.312 0.219
```


Record 7
## PAuSe2N (GGA-PBE)

Data for a relaxed structure of PAuSe2N. Values from VASP.

Computed properties:
As for the electronic total energy: -4.22 eV/atom. The calculation puts the density of states at the Fermi level at 2.41 states/eV/cell. The value obtained for the offset from the most stable computed form is 0 meV per atom.

Structure (Quantum ESPRESSO input):
```
&SYSTEM
  ibrav = 0, nat = 5, ntyp = 4
/
ATOMIC_SPECIES
P 30.97 P.upf
Au 196.97 Au.upf
Se 78.96 Se.upf
N 14.01 N.upf
ATOMIC_POSITIONS angstrom
P 0.000 0.000 0.000
Au 0.516 -2.319 -3.197
Se 2.139 -1.090 -0.946
Se -0.950 0.212 -2.390
N -0.673 -1.440 0.140
CELL_PARAMETERS angstrom
-1.899 0.424 -4.780
4.277 -2.181 -1.893
-1.345 -2.881 0.279
```


Record 8
## PAuSe2N (GGA-PBE)

Data for a relaxed structure of PAuSe2N. Values from VASP.

Computed properties:
As for the electronic total energy: -3.43 eV/atom. The calculation puts the density of states at the Fermi level at 3.66 states/eV/cell. The value obtained for the offset from the most stable computed form is 785 meV per atom.

Structure (Quantum ESPRESSO input):
```
&SYSTEM
  ibrav = 0, nat = 5, ntyp = 4
/
ATOMIC_SPECIES
P 30.97 P.upf
Au 196.97 Au.upf
Se 78.96 Se.upf
N 14.01 N.upf
ATOMIC_POSITIONS angstrom
P -1.991 -3.573 0.734
Au 0.000 0.000 0.000
Se 0.583 -2.414 -0.829
Se -2.552 -0.542 -0.219
N -0.022 -0.617 1.782
CELL_PARAMETERS angstrom
-5.105 -1.083 -0.438
1.167 -4.829 -1.658
-0.044 -1.234 3.563
```


Record 9
## Sn2PAuN (GGA-PBE)

Data for a relaxed structure of Sn2PAuN. Values from VASP.

Computed properties:
As for the electronic total energy: -4.39 eV/atom. The calculation puts the density of states at the Fermi level at 3.37 states/eV/cell.

Structure (Quantum ESPRESSO input):
```
&SYSTEM
  ibrav = 0, nat = 5, ntyp = 4
/
ATOMIC_SPECIES
P 30.97 P.upf
Au 196.97 Au.upf
Sn 118.71 Sn.upf
N 14.01 N.upf
ATOMIC_POSITIONS angstrom
P 2.490 2.047 2.490
Au 0.000 2.047 0.000
Sn 0.000 0.000 2.490
Sn 2.490 0.000 0.000
N 0.000 0.000 0.000
CELL_PARAMETERS angstrom
4.980 0.000 0.000
0.000 4.095 0.000
0.000 0.000 4.980
```


Record 10
## Sr6PAu2N (GGA-PBE)

Data for a relaxed structure of Sr6PAu2N. Values from VASP.

Computed properties:
As for the electronic total energy: -3.70 eV/atom. The calculation puts the density of states at the Fermi level at 14.34 states/eV/cell.

Structure (Quantum ESPRESSO input):
```
&SYSTEM
  ibrav = 0, nat = 20, ntyp = 4
/
ATOMIC_SPECIES
Sr 87.62 Sr.upf
P 30.97 P.upf
Au 196.97 Au.upf
N 14.01 N.upf
ATOMIC_POSITIONS angstrom
Sr 2.193 5.450 0.589
Sr 5.911 6.632 5.989
Sr 5.243 2.605 10.211
Sr 1.525 1.423 4.811
Sr 2.487 5.706 4.798
Sr 6.205 6.376 10.198
Sr 4.949 2.349 6.001
Sr 1.231 1.679 0.601
Sr 6.522 4.257 2.568
Sr 2.947 7.825 7.912
Sr 0.914 3.798 8.231
Sr 4.489 0.230 2.888
P 3.646 0.000 0.028
P 0.072 4.027 5.372
Au 0.327 7.323 2.689
Au 4.045 4.759 8.089
Au 7.109 0.732 8.111
Au 3.391 3.295 2.711
N 3.718 0.000 5.400
N 0.000 4.027 0.000
CELL_PARAMETERS angstrom
7.292 0.000 0.056
0.000 8.055 0.000
0.143 0.000 10.743
```


Record 11
## SrPAu2N (GGA-PBE)

Data for a relaxed structure of SrPAu2N. Values from VASP.

Computed properties:
As for the electronic total energy: -2.62 eV/atom. The calculation puts the density of states at the Fermi level at 4.50 states/eV/cell.

Structure (Quantum ESPRESSO input):
```
&SYSTEM
  ibrav = 0, nat = 5, ntyp = 4
/
ATOMIC_SPECIES
Sr 87.62 Sr.upf
N 14.01 N.upf
Au 196.97 Au.upf
P 30.97 P.upf
ATOMIC_POSITIONS angstrom
Sr 0.000 0.000 0.000
N 3.031 3.031 3.031
Au 0.000 0.000 3.031
Au 3.031 0.000 0.000
P 0.000 3.031 0.000
CELL_PARAMETERS angstrom
6.062 0.000 0.000
0.000 6.061 0.000
0.000 0.000 6.062
```


Record 12
## Sr6P2AuN (GGA-PBE)

Data for a relaxed structure of Sr6P2AuN. Values from VASP.

Computed properties:
As for the electronic total energy: -4.03 eV/atom. The calculation puts the density of states at the Fermi level at 6.94 states/eV/cell.

Structure (Quantum ESPRESSO input):
```
&SYSTEM
  ibrav = 0, nat = 20, ntyp = 4
/
ATOMIC_SPECIES
Sr 87.62 Sr.upf
P 30.97 P.upf
Au 196.97 Au.upf
N 14.01 N.upf
ATOMIC_POSITIONS angstrom
Sr 2.161 5.260 0.745
Sr 6.023 6.599 6.150
Sr 5.561 2.646 10.066
Sr 1.700 1.307 4.660
Sr 2.721 5.616 4.494
Sr 6.582 6.243 9.899
Sr 5.001 2.290 6.317
Sr 1.140 1.663 0.912
Sr 6.224 4.455 2.605
Sr 2.818 7.404 7.739
Sr 1.498 3.451 8.206
Sr 4.904 0.502 3.072
P 0.461 7.112 2.823
P 4.322 4.747 8.228
P 7.262 0.794 7.988
P 3.400 3.159 2.582
Au 3.633 0.000 0.136
Au 0.228 3.953 5.270
N 3.861 0.000 5.405
N 0.000 3.953 0.000
CELL_PARAMETERS angstrom
7.267 0.000 0.271
0.000 7.906 0.000
0.455 0.000 10.540
```